[1]
Ac8AsRh3S4: relaxed, PBE-GGA.

## Properties
As for the uncorrected formation energy: -22.1 eV/f.u. Its space group is R-3m, No. 166.

a = 8.6795 Å, b = 8.9354 Å, c = 8.6793 Å
α = 119.06°, β = 120.00°, γ = 90.00°
Last column: nearest neighbours and their distance in Å.
Fractional coordinates of all 16 atoms:
1 Ac 0.2499 0.7357 0.9858  2 Rh 3.02, 1 As 3.11, 3 S 3.12-3.21
2 Ac 0.2499 0.7356 0.4998  2 Rh 3.02, 1 As 3.11, 3 S 3.12-3.21
3 Ac 0.2534 0.2603 0.5069  3 Rh 3.07, 3 S 3.16
4 Ac 0.7359 0.7357 0.9858  2 Rh 3.02, 1 As 3.11, 3 S 3.12-3.21
5 Ac 0.2641 0.2643 0.0142  2 Rh 3.02, 1 As 3.11, 3 S 3.12-3.21
6 Ac 0.7466 0.7397 0.4931  3 Rh 3.07, 3 S 3.16
7 Ac 0.7501 0.2644 0.5002  2 Rh 3.02, 1 As 3.11, 3 S 3.12-3.21
8 Ac 0.7501 0.2643 0.0142  2 Rh 3.02, 1 As 3.11, 3 S 3.12-3.21
9 As 0.0000 0.5000 0.0000  6 Ac 3.11
10 Rh 0.5000 0.5000 0.0000  6 Ac 3.02-3.07
11 Rh 0.5000 0.5000 0.5000  6 Ac 3.02-3.07
12 Rh 0.0000 0.5000 0.5000  6 Ac 3.02-3.07
13 S 0.5000 0.0000 0.0000  6 Ac 3.12
14 S 0.5000 0.0000 0.5000  6 Ac 3.16-3.21
15 S 0.0000 0.0000 0.0000  6 Ac 3.16-3.21
16 S 0.0000 0.0000 0.5000  6 Ac 3.16-3.21

[2]
Ac6As2RhS3: relaxed, PBE-GGA.

## Properties
As for the uncorrected formation energy: -19.2 eV/f.u. Its space group is C2/m, No. 12.

a = 4.3951 Å, b = 8.9125 Å, c = 9.8166 Å
α = 102.52°, β = 102.94°, γ = 90.00°
Last column: nearest neighbours and their distance in Å.
Fractional coordinates of all 12 atoms:
1 Ac 0.3387 0.9190 0.6775  1 Rh 3.01, 3 S 3.14-3.15, 2 As 3.14
2 Ac 0.6666 0.5855 0.3333  3 S 3.11, 3 As 3.13
3 Ac 0.6613 0.0810 0.3225  1 Rh 3.01, 3 S 3.14-3.15, 2 As 3.14
4 Ac 0.9984 0.2412 0.9968  2 Rh 3.08, 1 As 3.12, 3 S 3.14-3.18
5 Ac 0.0016 0.7588 0.0032  2 Rh 3.08, 1 As 3.12, 3 S 3.14-3.18
6 Ac 0.3334 0.4145 0.6667  3 S 3.11, 3 As 3.13
7 As 0.8345 0.6651 0.6690  6 Ac 3.12-3.14
8 As 0.1655 0.3349 0.3310  6 Ac 3.12-3.14
9 Rh 0.5000 0.0000 0.0000  6 Ac 3.01-3.08
10 S 0.5000 0.5000 0.0000  6 Ac 3.11-3.18
11 S 0.8299 0.1655 0.6598  6 Ac 3.11-3.15
12 S 0.1701 0.8345 0.3402  6 Ac 3.11-3.15

[3]
Ac6AsRh2S3: relaxed, PBE-GGA.

## Properties
As for the uncorrected formation energy: -17.1 eV/f.u. Its space group is C2/m, No. 12.

a = 7.5563 Å, b = 7.5563 Å, c = 7.7787 Å
α = 99.43°, β = 99.43°, γ = 120.06°
Last column: nearest neighbours and their distance in Å.
Fractional coordinates of all 12 atoms:
1 Ac 0.9218 0.5746 0.7606  2 Rh 3.01-3.05, 3 S 3.14-3.21, 1 As 3.15
2 Ac 0.7335 0.7335 0.2405  2 Rh 3.04, 3 S 3.09-3.14, 1 As 3.16
3 Ac 0.0782 0.4254 0.2394  2 Rh 3.01-3.05, 3 S 3.14-3.21, 1 As 3.15
4 Ac 0.5746 0.9218 0.7606  2 Rh 3.01-3.05, 3 S 3.14-3.21, 1 As 3.15
5 Ac 0.2665 0.2665 0.7595  2 Rh 3.04, 3 S 3.09-3.14, 1 As 3.16
6 Ac 0.4254 0.0782 0.2394  2 Rh 3.01-3.05, 3 S 3.14-3.21, 1 As 3.15
7 As 0.0000 0.0000 0.0000  6 Ac 3.15-3.16
8 Rh 0.3323 0.6677 0.0000  6 Ac 3.01-3.05
9 Rh 0.6677 0.3323 0.0000  6 Ac 3.01-3.05
10 S 0.1605 0.8395 0.5000  6 Ac 3.14-3.21
11 S 0.8395 0.1605 0.5000  6 Ac 3.14-3.21
12 S 0.5000 0.5000 0.5000  6 Ac 3.09-3.21

[4]
Ac4AsRhS2: relaxed, PBE-GGA.

## Properties
As for the uncorrected formation energy: -12.0 eV/f.u. Its space group is P2/m, No. 10.

a = 4.3507 Å, b = 7.6954 Å, c = 7.6373 Å
α = 108.27°, β = 90.00°, γ = 90.00°
Last column: nearest neighbours and their distance in Å.
Fractional coordinates of all 8 atoms:
1 Ac 0.5000 0.2588 0.2435  1 Rh 3.01, 3 S 3.12-3.20, 2 As 3.14
2 Ac 0.5000 0.7412 0.7565  1 Rh 3.01, 3 S 3.12-3.20, 2 As 3.14
3 Ac 0.0000 0.2598 0.7576  2 Rh 3.07, 3 S 3.09-3.18, 1 As 3.12
4 Ac 0.0000 0.7402 0.2424  2 Rh 3.07, 3 S 3.09-3.18, 1 As 3.12
5 As 0.0000 0.0000 0.0000  6 Ac 3.12-3.14
6 Rh 0.5000 0.5000 0.0000  6 Ac 3.01-3.07
7 S 0.5000 0.0000 0.5000  6 Ac 3.18-3.20
8 S 0.0000 0.5000 0.5000  6 Ac 3.09-3.12

[5]
Ac3Sb2AsRh9: relaxed, PBE-GGA.

## Properties
As for the uncorrected formation energy: -5.6 eV/f.u. Its space group is P-3m1, No. 164.

a = 6.8228 Å, b = 6.8228 Å, c = 8.4729 Å
α = 90.00°, β = 90.00°, γ = 120.00°
Last column: nearest neighbours and their distance in Å.
Fractional coordinates of all 15 atoms:
1 Ac 0.3333 0.6667 0.6993  9 Rh 3.22-3.44
2 Ac 0.0000 0.0000 0.0000  6 Rh 2.89
3 Ac 0.6667 0.3333 0.3007  9 Rh 3.22-3.44
4 Sb 0.3333 0.6667 0.2024  6 Rh 2.46-2.61
5 Sb 0.6667 0.3333 0.7976  6 Rh 2.46-2.61
6 As 0.0000 0.0000 0.5000  6 Rh 2.41
7 Rh 0.8661 0.1339 0.7144  1 As 2.41, 1 Sb 2.46
8 Rh 0.8661 0.7322 0.7144  1 As 2.41, 1 Sb 2.46
9 Rh 0.2678 0.1339 0.7144  1 As 2.41, 1 Sb 2.46
10 Rh 0.7322 0.8661 0.2856  1 As 2.41, 1 Sb 2.46
11 Rh 0.1339 0.2678 0.2856  1 As 2.41, 1 Sb 2.46
12 Rh 0.1339 0.8661 0.2856  1 As 2.41, 1 Sb 2.46
13 Rh 0.5000 0.0000 0.0000  2 Sb 2.61
14 Rh 0.0000 0.5000 0.0000  2 Sb 2.61
15 Rh 0.5000 0.5000 0.0000  2 Sb 2.61

[6]
Ac2SbAsRh6: relaxed, PBE-GGA.

## Properties
As for the uncorrected formation energy: -5.7 eV/f.u. Its space group is P-1, No. 2.

a = 6.5671 Å, b = 7.0130 Å, c = 6.9714 Å
α = 56.34°, β = 61.59°, γ = 89.83°
Last column: nearest neighbours and their distance in Å.
Fractional coordinates of all 10 atoms:
1 Ac 0.7344 0.2638 0.5308  9 Rh 3.06-3.42
2 Ac 0.2656 0.7362 0.4692  9 Rh 3.06-3.42
3 Sb 0.0000 0.0000 0.0000  6 Rh 2.58
4 As 0.5000 0.5000 0.0000  6 Rh 2.38
5 Rh 0.2549 0.1615 0.4889  1 As 2.38, 1 Sb 2.58
6 Rh 0.8333 0.7437 0.9119  1 As 2.38, 1 Sb 2.58
7 Rh 0.2540 0.7430 0.9103  1 As 2.38, 1 Sb 2.58
8 Rh 0.7460 0.2570 0.0897  1 As 2.38, 1 Sb 2.58
9 Rh 0.1667 0.2563 0.0881  1 As 2.38, 1 Sb 2.58
10 Rh 0.7451 0.8385 0.5111  1 As 2.38, 1 Sb 2.58

[7]
Ac2SbAs3Rh4: relaxed, PBE-GGA.

## Properties
As for the uncorrected formation energy: -8.7 eV/f.u. Its space group is P-4m2, No. 115.

a = 4.4504 Å, b = 4.4504 Å, c = 10.3604 Å
α = 90.00°, β = 90.00°, γ = 90.00°
Last column: nearest neighbours and their distance in Å.
Fractional coordinates of all 10 atoms:
1 Ac 0.5000 0.0000 0.2427  8 Rh 3.36-3.41, 6 As 3.36-3.47, 2 Sb 3.47
2 Ac 0.0000 0.5000 0.7573  8 Rh 3.36-3.41, 6 As 3.36-3.47, 2 Sb 3.47
3 Sb 0.5000 0.5000 0.5000  4 Rh 2.61
4 As 0.0000 0.0000 0.5000  4 Rh 2.61
5 As 0.5000 0.0000 0.8718  5 Rh 2.49-2.59
6 As 0.0000 0.5000 0.1282  5 Rh 2.49-2.59
7 Rh 0.5000 0.5000 0.0000  4 As 2.59
8 Rh 0.0000 0.0000 0.0000  4 As 2.59
9 Rh 0.5000 0.0000 0.6311  3 As 2.49-2.61, 2 Sb 2.61
10 Rh 0.0000 0.5000 0.3689  3 As 2.49-2.61, 2 Sb 2.61

[8]
Ac2Sb3AsRh4: relaxed, PBE-GGA.

## Properties
As for the uncorrected formation energy: -8.6 eV/f.u. Its space group is P-4m2, No. 115.

a = 4.6058 Å, b = 4.6058 Å, c = 10.4495 Å
α = 90.00°, β = 90.00°, γ = 90.00°
Last column: nearest neighbours and their distance in Å.
Fractional coordinates of all 10 atoms:
1 Ac 0.5000 0.0000 0.2546  2 As 3.45, 6 Sb 3.45-3.50, 9 Rh 3.52-3.76
2 Ac 0.0000 0.5000 0.7454  2 As 3.45, 6 Sb 3.45-3.50, 9 Rh 3.52-3.76
3 Sb 0.0000 0.0000 0.5000  4 Rh 2.60
4 Sb 0.5000 0.0000 0.8678  5 Rh 2.64-2.69
5 Sb 0.0000 0.5000 0.1322  5 Rh 2.64-2.69
6 As 0.5000 0.5000 0.5000  4 Rh 2.60
7 Rh 0.5000 0.5000 0.0000  4 Sb 2.69
8 Rh 0.0000 0.0000 0.0000  4 Sb 2.69
9 Rh 0.5000 0.0000 0.6149  2 As 2.60, 3 Sb 2.60-2.64
10 Rh 0.0000 0.5000 0.3851  2 As 2.60, 3 Sb 2.60-2.64

[9]
Ac2ScAs4Rh3: relaxed, PBE-GGA.

## Properties
The final energy is -6.540 eV/atom. Its space group is P-4m2, No. 115.

a = 4.3986 Å, b = 4.3986 Å, c = 10.7383 Å
α = 90.00°, β = 90.00°, γ = 90.00°
Last column: nearest neighbours and their distance in Å.
Fractional coordinates of all 10 atoms:
1 Ac 0.5000 0.0000 0.2321  8 As 3.32-3.38, 7 Rh 3.37-3.70, 2 Sc 3.62
2 Ac 0.0000 0.5000 0.7679  8 As 3.32-3.38, 7 Rh 3.37-3.70, 2 Sc 3.62
3 Sc 0.5000 0.5000 0.5000  4 As 2.70
4 As 0.5000 0.5000 0.0000  4 Rh 2.51
5 As 0.0000 0.0000 0.0000  4 Rh 2.51
6 As 0.5000 0.0000 0.6457  3 Rh 2.60-2.70, 2 Sc 2.70
7 As 0.0000 0.5000 0.3543  3 Rh 2.60-2.70, 2 Sc 2.70
8 Rh 0.0000 0.0000 0.5000  4 As 2.70
9 Rh 0.5000 0.0000 0.8876  5 As 2.51-2.60
10 Rh 0.0000 0.5000 0.1124  5 As 2.51-2.60